PBE Ba5Re4, relaxed; energy of formation = 1.042 eV per atom; energy above the lowest structure with this stoichiometry = 0.0 kJ/mol of atoms
1.0
-5.572 5.572 2.253
5.572 -5.572 2.253
5.572 5.572 -2.253
Ba Re
5 4
direct
0.000 0.000 0.000
0.325 0.325 0.650
0.325 0.675 0.000
0.675 0.325 0.000
0.675 0.675 0.350
0.000 0.396 0.396
0.000 0.604 0.604
0.396 0.000 0.396
0.604 0.000 0.604

PBE BaRe, relaxed; energy of formation = 1.828 eV per atom; energy above the lowest structure with this stoichiometry = 137.5 kJ/mol of atoms
1.0
1.541 0.890 5.834
-1.541 0.890 5.834
0.000 -1.780 5.834
Ba Re
1 1
direct
0.000 0.000 0.000
0.500 0.500 0.500

PBE BaRe3, relaxed; energy of formation = 1.715 eV per atom; energy above the lowest structure with this stoichiometry = 107.9 kJ/mol of atoms
1.0
4.930 0.000 0.000
0.000 4.930 0.000
0.000 0.000 3.079
Ba Re
1 3
direct
0.000 0.000 0.000
0.000 0.500 0.500
0.500 0.000 0.500
0.500 0.500 0.000